{
  "formula": "ZrSb2Cl",
  "functional": "PBE",
  "state": "relaxed",
  "lattice": [[-4.6564, 8.4146, 0.3876], [-6.7110, 6.4764, 2.3782], [-3.9027, 7.9682, 3.7302]],
  "species": ["Cl", "Sb", "Sb", "Zr"],
  "frac_coords": [[0.7500, 0.7500, 0.7500], [0.5018, 0.5018, 0.5018], [0.9982, 0.9982, 0.9982], [0.2500, 0.2500, 0.2500]],
  "formation_energy_uncorrected_ev_per_fu": -0.9,
  "spacegroup": "R-3m, No. 166",
  "volume_a3_per_cell": 97.4,
  "magmom_total_mub_per_cell": 0.000,
  "polymorph_energy_ev_per_atom": 0.424
}